Here is a geometry-optimized TbEr2Cd4 structure from Alexandria via LeMat-Bulk. Energies are from PBE.

- energy above the most stable polymorph in this dataset (kJ/mol of atoms) = 0.0
- mass density (g cm⁻³) = 8.1
- energy relative to the elements (eV per atom) = -0.15

Cell: 5.3072 5.3072 13.7452 Å, 90.00 90.00 90.00°
Space group I4/mmm (No. 139)
Symmetry-distinct sites (fractional):
Tb: 0.0000 0.0000 0.0000 x2
Er: 0.0000 0.0000 0.2583 x4
Cd: 0.0000 0.5000 0.1167 x8